(A)
Material: BaSeSBr2
Method: DFT, PBE
State: optimized geometry

Cell lengths 6.284, 6.284, 6.751 Å; angles 90.00, 90.00, 90.00 degrees
Positions (direct):
Br 0.500 0.000 0.000
Ba 0.000 0.000 0.000
Se 0.000 0.000 0.500
S 0.500 0.500 0.500
Br 0.000 0.500 0.000

D(E_F): 1.469 states/eV/atom
M_tot: 4.026 Bohr magnetons per cell


(B)
Material: BaSeSBr2
Method: DFT, PBE
State: optimized geometry

Cell lengths 5.322, 5.322, 5.141 Å; angles 90.00, 90.00, 90.00 degrees
Positions (direct):
Ba 0.500 0.500 0.500
S 0.000 0.000 0.000
Br 0.500 0.000 0.000
Se 0.000 0.000 0.500
Br 0.000 0.500 0.000

D(E_F): 0.815 states/eV/atom
M_tot: 0.000 Bohr magnetons per cell


Most stable to least stable, the ends of the list are (B) and (A).


(A)
Material: Ba3SbBr
Method: DFT, PBE
State: optimized geometry

Cell lengths 4.814, 9.480, 10.003 Å; angles 100.45, 90.00, 90.00 degrees
Positions (direct):
Br 0.250 0.863 0.371
Ba 0.250 0.687 0.023
Sb 0.750 0.643 0.746
Ba 0.750 0.088 0.277
Ba 0.250 0.390 0.624
Ba 0.750 0.313 0.977
Sb 0.250 0.357 0.254
Ba 0.250 0.912 0.723
Ba 0.750 0.610 0.376
Br 0.750 0.137 0.629

D(E_F): 0.619 states/eV/atom
M_tot: 1.798 Bohr magnetons per cell


(B)
Material: Ba3SbBr
Method: DFT, PBE
State: optimized geometry

Cell lengths 6.092, 6.092, 6.092 Å; angles 90.00, 90.00, 90.00 degrees
Positions (direct):
Ba 0.000 0.500 0.000
Sb 0.500 0.500 0.500
Ba 0.500 0.000 0.000
Br 0.000 0.000 0.000
Ba 0.000 0.000 0.500

D(E_F): 0.842 states/eV/atom
M_tot: 0.000 Bohr magnetons per cell


Most stable to least stable, the ends of the list are (A) and (B).


(A)
Material: BaSb3Br
Method: DFT, PBE
State: optimized geometry

Cell lengths 5.653, 5.653, 5.653 Å; angles 90.00, 90.00, 90.00 degrees
Positions (direct):
Sb 0.000 0.500 0.000
Sb 0.000 0.000 0.500
Br 0.000 0.000 0.000
Sb 0.500 0.000 0.000
Ba 0.500 0.500 0.500

D(E_F): 0.925 states/eV/atom
M_tot: 0.000 Bohr magnetons per cell


(B)
Material: BaSb3Br
Method: DFT, PBE
State: optimized geometry

Cell lengths 6.356, 6.356, 6.356 Å; angles 90.00, 90.00, 90.00 degrees
Positions (direct):
Sb 0.500 0.000 0.000
Sb 0.000 0.500 0.000
Ba 0.000 0.000 0.000
Br 0.500 0.500 0.500
Sb 0.000 0.000 0.500

D(E_F): 1.295 states/eV/atom
M_tot: 0.000 Bohr magnetons per cell


Most stable to least stable, the ends of the list are (A) and (B).